1.
An optimized crystal structure of Ta2TcAu. Source: the Alexandria database, functional PBE-GGA.

Computed properties:
Final energy: -9.470 eV per atom
Total magnetization: 0.0 μB/cell
Energy above the lowest structure with this stoichiometry: 0 meV per atom
Calculated formation energy: -0.133 eV per atom

Cell and atoms, written as POSCAR:
```
Ta2TcAu
1.0
3.1554 0.0000 0.0000
0.0000 3.1591 0.2314
0.0000 2.6537 7.1214
Ta Au Tc
2 1 1
Direct
0.0000 0.9779 0.0224
0.0000 0.5221 0.4776
0.5000 0.7500 0.7500
0.5000 0.2500 0.2500
```


2.
An optimized crystal structure of AcPr3Au. Source: the Alexandria database, functional PBE-GGA.

Computed properties:
Final energy: -4.605 eV per atom
Total magnetization: 0.0 μB/cell
Calculated formation energy: -0.260 eV per atom

Cell and atoms, written as POSCAR:
```
AcPr3Au
1.0
-4.6046 6.0036 0.5269
-4.1080 -3.7342 6.6483
7.9917 5.7504 4.3182
Ac Au Pr
4 4 12
Direct
0.0191 0.3121 0.7417
0.4809 0.3121 0.2417
0.9809 0.6879 0.2583
0.5191 0.6879 0.7583
0.2365 0.9205 0.1101
0.7365 0.0795 0.3899
0.2635 0.9205 0.6101
0.7635 0.0795 0.8899
0.7891 0.4661 0.4920
0.2891 0.5339 0.0080
0.7109 0.4661 0.9920
0.1409 0.0941 0.3991
0.3591 0.0941 0.8991
0.0058 0.7699 0.8671
0.6409 0.9059 0.1009
0.4942 0.7699 0.3671
0.5058 0.2301 0.6329
0.2109 0.5339 0.5080
0.8591 0.9059 0.6009
0.9942 0.2301 0.1329
```


3.
An optimized crystal structure of KSiGeO5. Source: the Alexandria database, functional PBE-GGA.

Computed properties:
Final energy: -6.303 eV per atom
Total magnetization: 2.1 μB/cell
Formation energy (no corrections): -1812 meV per atom

Cell and atoms, written as POSCAR:
```
KSiGeO5
1.0
-4.6826 -2.2444 -2.3130
2.7284 -4.3160 2.4983
-2.3377 4.0022 5.3241
K O Ge Si
2 10 2 2
Direct
0.3374 0.6626 0.2500
0.6626 0.3374 0.7500
0.2160 0.3876 0.6086
0.2784 0.8871 0.6074
0.7216 0.1129 0.3926
0.0618 0.9382 0.2500
0.9382 0.0618 0.7500
0.1129 0.7216 0.8926
0.3876 0.2160 0.1086
0.6124 0.7840 0.8914
0.7840 0.6124 0.3914
0.8871 0.2784 0.1074
0.0000 0.0000 0.5000
0.0000 0.0000 0.0000
0.7002 0.2998 0.2500
0.2998 0.7002 0.7500
```


4.
An optimized crystal structure of NbPOsRuSeS. Source: the Alexandria database, functional PBE-GGA.

Computed properties:
Final energy: -7.500 eV per atom
Total magnetization: 0.0 μB/cell
Energy above the lowest structure with this stoichiometry: 180 meV per atom
Formation energy (no corrections): -234 meV per atom

Cell and atoms, written as POSCAR:
```
NbPOsRuSeS
1.0
-0.5042 3.3411 -0.7796
-1.3528 -1.1700 -4.4641
-6.2259 -0.6994 0.3588
Ru Nb S P Os Se
1 1 1 1 1 1
Direct
0.2218 0.8240 0.6905
0.7299 0.2648 0.8311
0.2411 0.3444 0.5469
0.7173 0.7391 0.9442
0.2141 0.4791 0.1423
0.0767 0.9523 0.2696
```


5.
An optimized crystal structure of LiPr2Se. Source: the Alexandria database, functional PBE-GGA.

Computed properties:
Final energy: -4.301 eV per atom
Total magnetization: 0.0 μB/cell
Formation energy (no corrections): -562 meV per atom

Cell and atoms, written as POSCAR:
```
LiPr2Se
1.0
-0.3275 -3.9369 0.1410
1.8105 -2.2324 -2.7139
8.9943 -2.5462 5.2156
Li Se Pr
1 1 2
Direct
0.0000 0.0000 0.0000
0.5000 0.5000 0.5000
0.1090 0.1090 0.6730
0.8910 0.8910 0.3270
```


6.
An optimized crystal structure of CoMoRh2. Source: the Alexandria database, functional PBE-GGA.

Computed properties:
Final energy: -7.963 eV per atom
Total magnetization: 1.0 μB/cell
Energy above the lowest structure with this stoichiometry: 311 meV per atom
Calculated formation energy: 0.197 eV per atom

Cell and atoms, written as POSCAR:
```
CoMoRh2
1.0
-0.3037 3.6668 -2.2107
-3.4891 2.4673 0.4045
0.2595 3.7659 2.0434
Mo Rh Co
1 2 1
Direct
0.7500 0.7500 0.7500
0.0000 0.0000 0.0000
0.2500 0.2500 0.2500
0.5000 0.5000 0.5000
```


7.
An optimized crystal structure of Pu3MnB2Rh9. Source: the Alexandria database, functional PBE-GGA.

Computed properties:
Final energy: -9.096 eV per atom
Total magnetization: 8.1 μB/cell
Calculated formation energy: -0.317 eV per atom

Cell and atoms, written as POSCAR:
```
Pu3MnB2Rh9
1.0
-0.4917 2.1075 5.3666
-3.8258 -3.8806 -1.9463
4.8969 -6.2921 2.9197
Rh Pu B Mn
9 3 2 1
Direct
0.6727 0.8364 0.2852
0.5000 0.0000 0.0000
0.1636 0.3273 0.2852
0.5000 0.5000 0.0000
0.8364 0.6727 0.7148
0.3273 0.1636 0.7148
0.8364 0.1636 0.7148
0.1636 0.8364 0.2852
0.0000 0.5000 0.0000
0.6667 0.3333 0.3627
0.0000 0.0000 0.0000
0.3333 0.6667 0.6373
0.6667 0.3333 0.8513
0.3333 0.6667 0.1487
0.0000 0.0000 0.5000
```


8.
An optimized crystal structure of Dy2Mn2Se2S3. Source: the Alexandria database, functional PBE-GGA.

Computed properties:
Final energy: -6.283 eV per atom
Total magnetization: 9.4 μB/cell
Formation energy (no corrections): -1072 meV per atom

Cell and atoms, written as POSCAR:
```
Dy2Mn2Se2S3
1.0
4.6427 0.0000 0.0000
0.0000 4.6427 0.0000
-2.3214 -2.3214 9.0820
S Dy Se Mn
3 2 2 2
Direct
0.0000 0.0000 0.0000
0.7500 0.2500 0.5000
0.2500 0.7500 0.5000
0.8255 0.8255 0.6509
0.1745 0.1745 0.3491
0.5952 0.5952 0.1904
0.4048 0.4048 0.8096
0.5000 0.0000 0.0000
0.0000 0.5000 0.0000
```


9.
An optimized crystal structure of La5Ho3Er. Source: the Alexandria database, functional PBE-GGA.

Computed properties:
Final energy: -4.462 eV per atom
Total magnetization: 0.0 μB/cell
Energy above the lowest structure with this stoichiometry: 246 meV per atom
Calculated formation energy: 0.308 eV per atom

Cell and atoms, written as POSCAR:
```
La5Ho3Er
1.0
9.4623 0.0000 0.0000
0.0000 9.4623 0.0000
-4.7311 -4.7311 7.1354
Ho La Er
6 10 2
Direct
0.1088 0.3912 0.0000
0.8912 0.6088 0.0000
0.3912 0.8912 0.0000
0.6088 0.1088 0.0000
0.2500 0.2500 0.5000
0.7500 0.7500 0.5000
0.8351 0.9346 0.2696
0.0654 0.5654 0.7304
0.9346 0.4346 0.2696
0.0000 0.0000 0.0000
0.5000 0.5000 0.0000
0.4346 0.3351 0.2696
0.3351 0.8351 0.2696
0.6649 0.1649 0.7304
0.5654 0.6649 0.7304
0.1649 0.0654 0.7304
0.7500 0.2500 0.5000
0.2500 0.7500 0.5000
```


10.
An optimized crystal structure of Zn7Si. Source: the Alexandria database, functional PBE-GGA.

Computed properties:
Final energy: -1.667 eV per atom
Total magnetization: 0.0 μB/cell
Formation energy (no corrections): 126 meV per atom

Cell and atoms, written as POSCAR:
```
Zn7Si
1.0
-4.1866 -1.7674 -3.2156
-1.0537 -5.4475 -0.4529
-4.5778 -2.1523 2.3242
Zn Si
7 1
Direct
0.0000 0.5000 0.0000
0.5000 0.0000 0.5000
0.0000 0.0000 0.5000
0.0000 0.5000 0.5000
0.5000 0.5000 0.0000
0.5000 0.0000 0.0000
0.5000 0.5000 0.5000
0.0000 0.0000 0.0000
```


11.
An optimized crystal structure of MgAg2Bi. Source: the Alexandria database, functional PBE-GGA.

Computed properties:
Final energy: -2.697 eV per atom
Total magnetization: 0.0 μB/cell
Calculated formation energy: 0.098 eV per atom

Cell and atoms, written as POSCAR:
```
MgAg2Bi
1.0
-3.7925 1.5875 -1.5033
-1.4821 -4.0796 -0.5690
-6.2869 -1.2097 8.2093
Ag Mg Bi
4 2 2
Direct
0.1433 0.6250 0.2500
0.6067 0.1250 0.2500
0.3750 0.3933 0.7500
0.8750 0.8567 0.7500
0.5000 0.5000 0.0000
0.2500 0.7500 0.5000
0.7500 0.2500 0.5000
0.0000 0.0000 0.0000
```


12.
An optimized crystal structure of BaEr4Zn5. Source: the Alexandria database, functional PBE-GGA.

Computed properties:
Final energy: -2.942 eV per atom
Total magnetization: 0.0 μB/cell
Calculated formation energy: -0.288 eV per atom

Cell and atoms, written as POSCAR:
```
BaEr4Zn5
1.0
-1.2112 2.4740 -2.3372
-3.2551 -0.1177 1.5623
5.0586 13.3865 11.5488
Ba Zn Er
1 5 4
Direct
0.0000 0.0000 0.0000
0.5000 0.5000 0.5000
0.5000 0.5000 0.3113
0.5000 0.5000 0.1314
0.5000 0.5000 0.8686
0.5000 0.5000 0.6887
0.0000 0.0000 0.2181
0.0000 0.0000 0.5934
0.0000 0.0000 0.4066
0.0000 0.0000 0.7819
```


13.
An optimized crystal structure of YCo2Re. Source: the Alexandria database, functional PBE-GGA.

Computed properties:
Final energy: -8.139 eV per atom
Total magnetization: 1.9 μB/cell
Energy above the lowest structure with this stoichiometry: 175 meV per atom
Calculated formation energy: 0.142 eV per atom

Cell and atoms, written as POSCAR:
```
YCo2Re
1.0
3.0229 -0.0035 0.0000
0.0030 3.0229 0.0000
0.0000 0.0000 6.8611
Y Re Co
1 1 2
Direct
0.5000 0.5000 0.7500
0.5000 0.5000 0.2500
0.0000 0.0000 0.4466
0.0000 0.0000 0.0534
```


14.
An optimized crystal structure of Sc2MnCd. Source: the Alexandria database, functional PBE-GGA.

Computed properties:
Final energy: -5.723 eV per atom
Total magnetization: 2.8 μB/cell
Calculated formation energy: -0.036 eV per atom

Cell and atoms, written as POSCAR:
```
Sc2MnCd
1.0
-3.8148 2.1106 -2.1686
-2.0283 -1.0169 2.5783
0.9430 4.1458 2.3761
Mn Cd Sc
1 1 2
Direct
0.5000 0.6250 0.8750
0.0000 0.6250 0.3748
0.0000 0.1250 0.8748
0.5000 0.1250 0.3753
```


15.
An optimized crystal structure of Er2ZnRu2. Source: the Alexandria database, functional PBE-GGA.

Computed properties:
Final energy: -6.146 eV per atom
Total magnetization: 0.0 μB/cell
Calculated formation energy: -0.355 eV per atom

Cell and atoms, written as POSCAR:
```
Er2ZnRu2
1.0
5.3997 0.0000 0.0000
-2.6998 4.7990 0.0212
0.0000 -2.1739 7.6192
Er Zn Ru
4 2 4
Direct
0.2028 0.7046 0.3516
0.7972 0.2954 0.6484
0.4982 0.2954 0.1484
0.5018 0.7046 0.8516
0.1484 0.0000 0.7500
0.8516 0.0000 0.2500
0.2811 0.2720 0.5071
0.7189 0.7280 0.4929
0.9909 0.2720 0.0071
0.0091 0.7280 0.9929
```


16.
An optimized crystal structure of LiSmTmMn. Source: the Alexandria database, functional PBE-GGA.

Computed properties:
Final energy: -4.939 eV per atom
Total magnetization: 2.5 μB/cell
Calculated formation energy: 0.130 eV per atom

Cell and atoms, written as POSCAR:
```
LiSmTmMn
1.0
-0.6152 4.7673 -1.5271
-3.9258 1.2262 -2.9194
-3.7653 2.7827 1.8753
Tm Mn Sm Li
1 1 1 1
Direct
0.5000 0.5000 0.5000
0.2500 0.2500 0.2500
0.0000 0.0000 0.0000
0.7500 0.7500 0.7500
```


17.
An optimized crystal structure of Tb2Pr7Sm2. Source: the Alexandria database, functional PBE-GGA.

Computed properties:
Final energy: -4.423 eV per atom
Total magnetization: 0.0 μB/cell
Energy above the lowest structure with this stoichiometry: 192 meV per atom
Calculated formation energy: 0.319 eV per atom

Cell and atoms, written as POSCAR:
```
Tb2Pr7Sm2
1.0
-5.8822 4.8933 -5.9379
-5.5383 -2.0603 3.7874
3.5046 5.9166 1.4051
Pr Tb Sm
7 2 2
Direct
0.3167 0.0000 0.5000
0.0000 0.0000 0.0000
0.8222 0.5000 0.5000
0.6833 0.5000 0.0000
0.1778 0.5000 0.5000
0.3167 0.5000 0.0000
0.6833 0.0000 0.5000
0.0000 0.7329 0.2671
0.0000 0.2671 0.7329
0.5000 0.7498 0.7498
0.5000 0.2502 0.2502
```


18.
An optimized crystal structure of Cd2TcOs. Source: the Alexandria database, functional PBE-GGA.

Computed properties:
Final energy: -5.252 eV per atom
Total magnetization: 0.0 μB/cell
Energy above the lowest structure with this stoichiometry: 446 meV per atom
Calculated formation energy: 0.604 eV per atom

Cell and atoms, written as POSCAR:
```
Cd2TcOs
1.0
2.9309 0.0000 0.0000
0.0000 4.7934 0.0996
0.0000 3.2978 4.8805
Os Tc Cd
1 1 2
Direct
0.5000 0.5000 0.5000
0.0000 0.0000 0.5000
0.5000 0.5000 0.0000
0.0000 0.0000 0.0000
```


19.
An optimized crystal structure of K2RuSCl. Source: the Alexandria database, functional PBE-GGA.

Computed properties:
Final energy: -3.334 eV per atom
Total magnetization: 2.1 μB/cell
Formation energy (no corrections): 155 meV per atom

Cell and atoms, written as POSCAR:
```
K2RuSCl
1.0
-4.4813 -0.2171 4.3246
2.5511 -2.5067 2.5177
2.3535 5.1019 2.6949
K Ru Cl S
2 1 1 1
Direct
0.0000 0.0000 0.5000
0.5000 0.0000 0.0000
0.0000 0.0000 0.0000
0.0000 0.5000 0.0000
0.5000 0.5000 0.5000
```


20.
An optimized crystal structure of SrCa2DyTl4. Source: the Alexandria database, functional PBE-GGA.

Computed properties:
Final energy: -2.868 eV per atom
Total magnetization: 0.0 μB/cell
Calculated formation energy: -0.399 eV per atom

Cell and atoms, written as POSCAR:
```
SrCa2DyTl4
1.0
5.5311 0.0000 0.0000
2.7656 4.7901 0.0000
2.7656 1.5967 9.0541
Dy Tl Sr Ca
1 4 1 2
Direct
0.5000 0.5000 0.5000
0.8729 0.8729 0.3812
0.3797 0.3797 0.8609
0.1271 0.1271 0.6188
0.6203 0.6203 0.1391
0.0000 0.0000 0.0000
0.2498 0.2498 0.2506
0.7502 0.7502 0.7494
```